Entry 1:
The following is a DFT calculation (PBE) of a geometry-optimized Tb4SiTeS2 structure. Values from VASP.

* N(E_F): 0.3376 states/eV per atom
* calculated density: 7.24 Mg/m³
* raw formation energy: -1.54 eV per atom

```
&SYSTEM
  ibrav = 0, nat = 8, ntyp = 4
/
ATOMIC_SPECIES
Tb 158.93 Tb.upf
Si 28.09 Si.upf
Te 127.60 Te.upf
S 32.06 S.upf
CELL_PARAMETERS angstrom
4.0874 0.0000 0.0000
0.0000 7.0372 -0.1149
0.0000 2.5047 6.7849
ATOMIC_POSITIONS crystal
Tb 0.5000 0.2450 0.7349
Tb 0.0000 0.2308 0.2797
Tb 0.0000 0.7692 0.7203
Tb 0.5000 0.7550 0.2651
Si 0.0000 0.5000 0.5000
Te 0.5000 0.5000 0.0000
S 0.0000 0.0000 0.0000
S 0.5000 0.0000 0.5000
```

=====

Entry 2:
The following is a DFT calculation (PBE) of a geometry-optimized CaP2Se structure. Values from VASP.

* N(E_F): 0.2025 states/eV per atom
* calculated density: 3.22 Mg/m³
* raw formation energy: -0.62 eV per atom

```
&SYSTEM
  ibrav = 0, nat = 4, ntyp = 3
/
ATOMIC_SPECIES
P 30.97 P.upf
Ca 40.08 Ca.upf
Se 78.96 Se.upf
CELL_PARAMETERS angstrom
4.0980 0.0000 0.0000
0.0000 4.1973 0.0018
0.0000 2.3279 5.4207
ATOMIC_POSITIONS crystal
P 0.0000 0.1029 0.0212
P 0.5000 0.1494 0.1601
Ca 0.5000 0.8357 0.7220
Se 0.0000 0.4120 0.5967
```

=====

Entry 3:
The following is a DFT calculation (PBE) of a geometry-optimized Li2TaIn structure. Values from VASP.

* energy relative to the elements: 7.9 kcal/mol of atoms
* N(E_F): 0.8788 states/eV per atom
* calculated density: 6.90 Mg/m³

```
&SYSTEM
  ibrav = 0, nat = 4, ntyp = 3
/
ATOMIC_SPECIES
In 114.82 In.upf
Li 6.94 Li.upf
Ta 180.95 Ta.upf
CELL_PARAMETERS angstrom
5.4823 0.0479 0.0000
-2.4661 4.8966 0.0000
0.0000 0.0000 2.7645
ATOMIC_POSITIONS crystal
In 0.0000 0.5000 0.5000
Li 0.0000 0.0000 0.0000
Li 0.5000 0.5000 0.0000
Ta 0.5000 0.0000 0.5000
```

=====

Entry 4:
The following is a DFT calculation (PBE) of a geometry-optimized NdYZnCu structure. Values from VASP.

* energy relative to the elements: -5.8 kcal/mol of atoms
* N(E_F): 0.6171 states/eV per atom
* calculated density: 6.50 Mg/m³
* ΔE to the lowest computed polymorph: 6 meV per atom

```
&SYSTEM
  ibrav = 0, nat = 4, ntyp = 4
/
ATOMIC_SPECIES
Nd 144.24 Nd.upf
Y 88.91 Y.upf
Cu 63.55 Cu.upf
Zn 65.41 Zn.upf
CELL_PARAMETERS angstrom
-3.4731 -3.7007 0.1055
0.5119 -3.8695 3.2455
-3.1420 -0.4198 3.9648
ATOMIC_POSITIONS crystal
Nd 0.2500 0.2500 0.2500
Y 0.7500 0.7500 0.7500
Cu 0.0000 0.0000 0.0000
Zn 0.5000 0.5000 0.5000
```

=====

Entry 5:
The following is a DFT calculation (PBE) of a geometry-optimized SrZrSO2 structure. Values from VASP.

* N(E_F): 0.0000 states/eV per atom
* calculated density: 4.24 Mg/m³
* raw formation energy: -2.80 eV per atom

```
&SYSTEM
  ibrav = 0, nat = 5, ntyp = 4
/
ATOMIC_SPECIES
Sr 87.62 Sr.upf
S 32.06 S.upf
O 16.00 O.upf
Zr 91.22 Zr.upf
CELL_PARAMETERS angstrom
4.0252 0.0000 0.0000
0.0000 4.0252 0.0000
0.0000 0.0001 5.8684
ATOMIC_POSITIONS crystal
Sr 0.5000 0.5000 0.6565
S 0.0000 0.0000 0.4505
O 0.0000 0.5000 0.9311
O 0.5000 0.0000 0.9311
Zr 0.0000 0.0000 0.0307
```

=====

Entry 6:
The following is a DFT calculation (PBE) of a geometry-optimized Ni2PtPb2 structure. Values from VASP.

* energy relative to the elements: 2.8 kcal/mol of atoms
* N(E_F): 1.1624 states/eV per atom
* calculated density: 13.48 Mg/m³

```
&SYSTEM
  ibrav = 0, nat = 10, ntyp = 3
/
ATOMIC_SPECIES
Pb 207.20 Pb.upf
Ni 58.69 Ni.upf
Pt 195.08 Pt.upf
CELL_PARAMETERS angstrom
-4.0804 -5.5427 0.0761
1.3758 -0.9212 6.6810
-2.9484 2.1830 0.9082
ATOMIC_POSITIONS crystal
Pb 0.8249 0.3249 0.5000
Pb 0.3249 0.1751 0.5000
Pb 0.1751 0.6751 0.5000
Pb 0.6751 0.8249 0.5000
Ni 0.6287 0.1287 0.0000
Ni 0.1287 0.3713 0.0000
Ni 0.8713 0.6287 0.0000
Ni 0.3713 0.8713 0.0000
Pt 0.5000 0.5000 0.0000
Pt 0.0000 0.0000 0.0000
```

=====

Entry 7:
The following is a DFT calculation (PBE) of a geometry-optimized LiNdBiPt structure. Values from VASP.

* energy relative to the elements: -15.0 kcal/mol of atoms
* N(E_F): 0.6013 states/eV per atom
* calculated density: 10.40 Mg/m³

```
&SYSTEM
  ibrav = 0, nat = 4, ntyp = 4
/
ATOMIC_SPECIES
Li 6.94 Li.upf
Nd 144.24 Nd.upf
Bi 208.98 Bi.upf
Pt 195.08 Pt.upf
CELL_PARAMETERS angstrom
5.0057 0.0000 0.0000
2.5028 4.3350 0.0000
2.5028 1.4450 4.0871
ATOMIC_POSITIONS crystal
Li 0.0000 0.0000 0.0000
Nd 0.7500 0.7500 0.7500
Bi 0.2500 0.2500 0.2500
Pt 0.5000 0.5000 0.5000
```

=====

Entry 8:
The following is a DFT calculation (PBE) of a geometry-optimized Ho3PuAg4Se8 structure. Values from VASP.

* N(E_F): 0.8656 states/eV per atom
* calculated density: 7.68 Mg/m³
* raw formation energy: -1.09 eV per atom

```
&SYSTEM
  ibrav = 0, nat = 16, ntyp = 4
/
ATOMIC_SPECIES
Se 78.96 Se.upf
Ho 164.93 Ho.upf
Ag 107.87 Ag.upf
Pu 244.00 Pu.upf
CELL_PARAMETERS angstrom
8.3752 0.0000 0.0000
0.0000 8.0383 -0.2529
-4.1876 -4.1882 5.9193
ATOMIC_POSITIONS crystal
Se 0.7488 0.7456 0.4976
Se 0.2556 0.2539 0.0044
Se 0.2512 0.7460 0.5023
Se 0.7488 0.2540 0.4977
Se 0.7444 0.7461 0.9956
Se 0.7488 0.2539 0.0044
Se 0.2512 0.7461 0.9956
Se 0.2512 0.2544 0.5024
Ho 0.5000 0.5000 0.5000
Ho 0.5000 0.5000 0.0000
Ho 0.0000 0.5000 0.5000
Ag 0.0000 0.0000 0.0000
Ag 0.0000 0.0000 0.5000
Ag 0.5000 0.0000 0.5000
Ag 0.5000 0.0000 0.0000
Pu 0.0000 0.5000 0.0000
```